Entry 1:
Computed, not measured: a relaxed LaPmHg4 crystal at the PBE level of DFT.

formation energy = -44.0 kJ per mole of atoms
relative energy among the computed polymorphs = 0.0000 eV/atom

Unit cell a=8.6752 b=8.7504 c=5.0769 alpha=90.00 beta=125.36 gamma=90.00
With the nearest neighbours (Å) after each atom.
Element x y z (fractional)
La  0.0000  0.0000  0.0000  12 Hg 3.40-3.44, 2 Pm 3.54
La  0.5000  0.5000  0.0000  12 Hg 3.40-3.44, 2 Pm 3.54
Pm  0.0000  0.5000  0.5000  12 Hg 3.40-3.42, 2 La 3.54
Pm  0.5000  0.0000  0.5000  12 Hg 3.40-3.42, 2 La 3.54
Hg  0.2475  0.3331  0.2477  3 Hg 2.92-2.93
Hg  0.2475  0.6669  0.2477  3 Hg 2.92-2.93
Hg  0.2525  0.1669  0.7523  3 Hg 2.92-2.93
Hg  0.2525  0.8331  0.7523  3 Hg 2.92-2.93
Hg  0.7475  0.1669  0.2477  3 Hg 2.92-2.93
Hg  0.7475  0.8331  0.2477  3 Hg 2.92-2.93
Hg  0.7525  0.3331  0.7523  3 Hg 2.92-2.93
Hg  0.7525  0.6669  0.7523  3 Hg 2.92-2.93

=====

Entry 2:
Computed, not measured: a relaxed Ni2Sn3Te3 crystal at the PBE level of DFT.

raw formation energy = -0.243 eV per atom

Unit cell a=9.3477 b=9.3477 c=9.3477 alpha=90.33 beta=90.33 gamma=90.33
With the nearest neighbours (Å) after each atom.
Element x y z (fractional)
Ni  0.2441  0.7447  0.7482  3 Sn 2.59-2.61, 3 Te 2.61-2.63
Ni  0.2488  0.2488  0.2488  3 Te 2.60, 3 Sn 2.61
Ni  0.2518  0.7559  0.2553  3 Sn 2.59-2.61, 3 Te 2.61-2.63
Ni  0.2553  0.2518  0.7559  3 Sn 2.59-2.61, 3 Te 2.61-2.63
Ni  0.7447  0.7482  0.2441  3 Sn 2.59-2.61, 3 Te 2.61-2.63
Ni  0.7482  0.2441  0.7447  3 Sn 2.59-2.61, 3 Te 2.61-2.63
Ni  0.7512  0.7512  0.7512  3 Te 2.60, 3 Sn 2.61
Ni  0.7559  0.2553  0.2518  3 Sn 2.59-2.61, 3 Te 2.61-2.63
Sn  0.0007  0.3241  0.8359  2 Ni 2.59-2.61
Sn  0.1641  0.9993  0.6759  2 Ni 2.59-2.61
Sn  0.1756  0.3354  0.5035  2 Ni 2.60-2.61
Sn  0.3241  0.8359  0.0007  2 Ni 2.59-2.61
Sn  0.3354  0.5035  0.1756  2 Ni 2.60-2.61
Sn  0.4965  0.8244  0.6646  2 Ni 2.60-2.61
Sn  0.5035  0.1756  0.3354  2 Ni 2.60-2.61
Sn  0.6646  0.4965  0.8244  2 Ni 2.60-2.61
Sn  0.6759  0.1641  0.9993  2 Ni 2.59-2.61
Sn  0.8244  0.6646  0.4965  2 Ni 2.60-2.61
Sn  0.8359  0.0007  0.3241  2 Ni 2.59-2.61
Sn  0.9993  0.6759  0.1641  2 Ni 2.59-2.61
Te  0.0048  0.3437  0.1562  2 Ni 2.60-2.63
Te  0.1562  0.0048  0.3437  2 Ni 2.60-2.63
Te  0.1582  0.6549  0.4966  2 Ni 2.61
Te  0.3437  0.1562  0.0048  2 Ni 2.60-2.63
Te  0.3451  0.5034  0.8418  2 Ni 2.61
Te  0.4966  0.1582  0.6549  2 Ni 2.61
Te  0.5034  0.8418  0.3451  2 Ni 2.61
Te  0.6549  0.4966  0.1582  2 Ni 2.61
Te  0.6563  0.8438  0.9952  2 Ni 2.60-2.63
Te  0.8418  0.3451  0.5034  2 Ni 2.61
Te  0.8438  0.9952  0.6563  2 Ni 2.60-2.63
Te  0.9952  0.6563  0.8438  2 Ni 2.60-2.63